Entry 1:
! GGA-PBE Sc2TlP, relaxed; values from VASP
&SYSTEM
  ibrav = 0, nat = 8, ntyp = 3
/
ATOMIC_SPECIES
Sc 44.96 Sc.upf
Tl 204.38 Tl.upf
P 30.97 P.upf
ATOMIC_POSITIONS crystal
Sc 0.0000 0.0000 0.2134
Sc 0.0000 0.0000 0.7866
Sc 0.5000 0.5000 0.2866
Sc 0.5000 0.5000 0.7134
Tl 0.0000 0.5000 0.0000
Tl 0.5000 0.0000 0.5000
P 0.0000 0.5000 0.5000
P 0.5000 0.0000 0.0000
CELL_PARAMETERS angstrom
3.7758 0.0000 0.0000
0.0000 5.4879 0.0000
0.0000 0.0000 8.3136
! * space group: Immm
! * formation enthalpy at 0 K: -0.56 eV per atom
! * Fermi-level density of states: 0.770 states/eV/atom
! * final energy: -45.39 eV/cell

Entry 2:
! GGA-PBE Sc3TlP, relaxed; values from VASP
&SYSTEM
  ibrav = 0, nat = 20, ntyp = 3
/
ATOMIC_SPECIES
Sc 44.96 Sc.upf
Tl 204.38 Tl.upf
P 30.97 P.upf
ATOMIC_POSITIONS crystal
Sc 0.0929 0.0929 0.6571
Sc 0.0929 0.6571 0.0929
Sc 0.0929 0.6571 0.6571
Sc 0.3429 0.3429 0.9071
Sc 0.3429 0.9071 0.3429
Sc 0.3429 0.9071 0.9071
Sc 0.6571 0.0929 0.0929
Sc 0.6571 0.0929 0.6571
Sc 0.6571 0.6571 0.0929
Sc 0.9071 0.3429 0.3429
Sc 0.9071 0.3429 0.9071
Sc 0.9071 0.9071 0.3429
Tl 0.0000 0.5000 0.5000
Tl 0.5000 0.0000 0.5000
Tl 0.5000 0.5000 0.0000
Tl 0.5000 0.5000 0.5000
P 0.0000 0.0000 0.0000
P 0.0000 0.0000 0.5000
P 0.0000 0.5000 0.0000
P 0.5000 0.0000 0.0000
CELL_PARAMETERS angstrom
0.0000 6.4599 6.4599
6.4599 0.0000 6.4599
6.4599 6.4599 0.0000
! * space group: Fd-3m
! * formation enthalpy at 0 K: -0.41 eV per atom
! * Fermi-level density of states: 0.784 states/eV/atom
! * final energy: -115.33 eV/cell

Entry 3:
! GGA-PBE Sc2TlP, relaxed; values from VASP
&SYSTEM
  ibrav = 0, nat = 12, ntyp = 3
/
ATOMIC_SPECIES
Sc 44.96 Sc.upf
Tl 204.38 Tl.upf
P 30.97 P.upf
ATOMIC_POSITIONS crystal
Sc 0.0000 0.0000 0.0000
Sc 0.0000 0.0000 0.2296
Sc 0.3333 0.6667 0.6667
Sc 0.3333 0.6667 0.8963
Sc 0.6667 0.3333 0.3333
Sc 0.6667 0.3333 0.5630
Tl 0.0000 0.0000 0.4640
Tl 0.3333 0.6667 0.1306
Tl 0.6667 0.3333 0.7973
P 0.0000 0.0000 0.7222
P 0.3333 0.6667 0.3889
P 0.6667 0.3333 0.0555
CELL_PARAMETERS angstrom
3.7678 0.0000 0.0000
-1.8839 3.2630 0.0000
0.0000 0.0000 23.9947
! * space group: R3m
! * formation enthalpy at 0 K: -0.15 eV per atom
! * Fermi-level density of states: 1.212 states/eV/atom
! * final energy: -63.16 eV/cell

Entry 4:
! GGA-PBE Sc3TlP, relaxed; values from VASP
&SYSTEM
  ibrav = 0, nat = 10, ntyp = 3
/
ATOMIC_SPECIES
Sc 44.96 Sc.upf
Tl 204.38 Tl.upf
P 30.97 P.upf
ATOMIC_POSITIONS crystal
Sc 0.1063 0.4651 0.7434
Sc 0.2566 0.8937 0.5349
Sc 0.4651 0.7434 0.1063
Sc 0.5349 0.2566 0.8937
Sc 0.7434 0.1063 0.4651
Sc 0.8937 0.5349 0.2566
Tl 0.3342 0.3342 0.3342
Tl 0.6658 0.6658 0.6658
P 0.1567 0.1567 0.1567
P 0.8433 0.8433 0.8433
CELL_PARAMETERS angstrom
3.1081 1.7945 7.4461
-3.1081 1.7945 7.4461
0.0000 -3.5890 7.4461
! * space group: R-3
! * formation enthalpy at 0 K: -0.59 eV per atom
! * Fermi-level density of states: 0.414 states/eV/atom
! * final energy: -59.42 eV/cell

Entry 5:
! GGA-PBE Sc3TlP, relaxed; values from VASP
&SYSTEM
  ibrav = 0, nat = 20, ntyp = 3
/
ATOMIC_SPECIES
Sc 44.96 Sc.upf
Tl 204.38 Tl.upf
P 30.97 P.upf
ATOMIC_POSITIONS crystal
Sc 0.0284 0.1972 0.1415
Sc 0.1813 0.5419 0.0065
Sc 0.1972 0.0284 0.6415
Sc 0.2836 0.4540 0.5221
Sc 0.4540 0.2836 0.0221
Sc 0.4581 0.8187 0.4935
Sc 0.5419 0.1813 0.5065
Sc 0.5460 0.7164 0.9779
Sc 0.7164 0.5460 0.4779
Sc 0.8028 0.9716 0.3585
Sc 0.8187 0.4581 0.9935
Sc 0.9716 0.8028 0.8585
Tl 0.0119 0.7135 0.3372
Tl 0.2865 0.9881 0.1628
Tl 0.7135 0.0119 0.8372
Tl 0.9881 0.2865 0.6628
P 0.2600 0.7400 0.7500
P 0.4449 0.5551 0.2500
P 0.5551 0.4449 0.7500
P 0.7400 0.2600 0.2500
CELL_PARAMETERS angstrom
5.7736 -6.3752 0.0000
5.7736 6.3752 0.0000
-1.4046 0.0000 6.1668
! * space group: C2/c
! * formation enthalpy at 0 K: -0.55 eV per atom
! * Fermi-level density of states: 0.577 states/eV/atom
! * final energy: -118.07 eV/cell

Entry 6:
! GGA-PBE Sc3TlP, relaxed; values from VASP
&SYSTEM
  ibrav = 0, nat = 10, ntyp = 3
/
ATOMIC_SPECIES
Sc 44.96 Sc.upf
Tl 204.38 Tl.upf
P 30.97 P.upf
ATOMIC_POSITIONS crystal
Sc 0.0000 0.0000 0.0000
Sc 0.0216 0.5988 0.3592
Sc 0.3526 0.9364 0.3594
Sc 0.6376 0.2601 0.4663
Sc 0.7440 0.8338 0.6814
Sc 0.9094 0.4073 0.7781
Tl 0.2952 0.2896 0.1230
Tl 0.6383 0.6697 0.0524
P 0.1293 0.0852 0.6589
P 0.4118 0.5907 0.5886
CELL_PARAMETERS angstrom
3.7490 0.0000 0.0000
1.8743 7.4781 0.0000
1.8643 0.9900 7.7997
! * space group: P1
! * formation enthalpy at 0 K: -0.70 eV per atom
! * Fermi-level density of states: 0.784 states/eV/atom
! * final energy: -60.53 eV/cell

Entry 7:
! GGA-PBE Sc2TlP, relaxed; values from VASP
&SYSTEM
  ibrav = 0, nat = 8, ntyp = 3
/
ATOMIC_SPECIES
Sc 44.96 Sc.upf
Tl 204.38 Tl.upf
P 30.97 P.upf
ATOMIC_POSITIONS crystal
Sc 0.0000 0.5000 0.2500
Sc 0.0000 0.5000 0.7500
Sc 0.5000 0.0000 0.2500
Sc 0.5000 0.0000 0.7500
Tl 0.0000 0.0000 0.0000
Tl 0.5000 0.5000 0.5000
P 0.0000 0.0000 0.5000
P 0.5000 0.5000 0.0000
CELL_PARAMETERS angstrom
4.5271 0.0000 0.0000
0.0000 4.5271 0.0000
0.0000 0.0000 7.9510
! * space group: I4/mmm
! * formation enthalpy at 0 K: -0.42 eV per atom
! * Fermi-level density of states: 0.926 states/eV/atom
! * final energy: -44.25 eV/cell

Entry 8:
! GGA-PBE Sc3TlP, relaxed; values from VASP
&SYSTEM
  ibrav = 0, nat = 20, ntyp = 3
/
ATOMIC_SPECIES
Sc 44.96 Sc.upf
Tl 204.38 Tl.upf
P 30.97 P.upf
ATOMIC_POSITIONS crystal
Sc 0.0731 0.0794 0.3517
Sc 0.0731 0.4206 0.8517
Sc 0.2039 0.5731 0.5419
Sc 0.2039 0.9269 0.0419
Sc 0.3856 0.1312 0.7834
Sc 0.3856 0.3688 0.2834
Sc 0.6144 0.6312 0.7166
Sc 0.6144 0.8688 0.2166
Sc 0.7961 0.0731 0.9581
Sc 0.7961 0.4269 0.4581
Sc 0.9269 0.5794 0.1483
Sc 0.9269 0.9206 0.6483
Tl 0.3934 0.6794 0.8893
Tl 0.3934 0.8206 0.3893
Tl 0.6066 0.1794 0.6107
Tl 0.6066 0.3206 0.1107
P 0.0829 0.2395 0.6082
P 0.0829 0.2605 0.1082
P 0.9171 0.7395 0.8918
P 0.9171 0.7605 0.3918
CELL_PARAMETERS angstrom
8.7089 0.0000 0.0000
0.0000 6.2750 0.0000
-3.8939 0.0000 8.4271
! * space group: P2_1/c
! * formation enthalpy at 0 K: -0.66 eV per atom
! * Fermi-level density of states: 1.118 states/eV/atom
! * final energy: -120.36 eV/cell

no.,excess energy over the best structure of this formula in the dataset (meV/atom)
1,337.8
2,323.4
3,747.8
4,148.0
5,186.5
6,36.7
7,480.1
8,71.7